The following is a PBE calculation of a relaxed WBr2Cl2 crystal, from OQMD.

Calculated values
- E (eV/cell) = -46.39
- space group = C2/m

a = 7.2205 Å, b = 7.2205 Å, c = 8.4619 Å
α = 124.70°, β = 124.70°, γ = 56.02°
Last column: nearest neighbours and their distance in Å.
Positions (direct):
W  0.1985  0.8015  0.0000  2 Cl 2.31, 2 Br 2.52
W  0.8015  0.1985  0.0000  2 Cl 2.31, 2 Br 2.52
Br  0.2175  0.2175  0.1909  2 W 2.52
Br  0.3221  0.3221  0.8433  2 W 2.68
Br  0.6779  0.6779  0.1567  2 W 2.68
Br  0.7825  0.7825  0.8091  2 W 2.52
Cl  0.2128  0.7488  0.7105  1 W 2.31
Cl  0.2512  0.7872  0.2895  1 W 2.31
Cl  0.7488  0.2128  0.7105  1 W 2.31
Cl  0.7872  0.2512  0.2895  1 W 2.31

The following is a PBE calculation of a relaxed Dy2Tm2GaNi2Ge4 crystal, from OQMD.

Calculated values
- E (eV/cell) = -59.44
- space group = C2/m

a = 7.9311 Å, b = 7.9311 Å, c = 6.8848 Å
α = 107.76°, β = 107.76°, γ = 30.93°
Last column: nearest neighbours and their distance in Å.
Positions (direct):
Dy  0.0894  0.0894  0.3842  7 Ge 2.99-3.31, 3 Ni 3.04-3.05, 2 Ga 3.32
Dy  0.9106  0.9106  0.6158  7 Ge 2.99-3.31, 3 Ni 3.04-3.05, 2 Ga 3.32
Tm  0.1540  0.1540  0.9396  5 Ge 2.87-3.02, 1 Ni 2.90
Tm  0.8460  0.8460  0.0604  5 Ge 2.87-3.02, 1 Ni 2.90
Ga  0.5000  0.5000  0.0000  4 Ge 2.75-3.07
Ni  0.2830  0.2830  0.3525  4 Ge 2.38-2.54
Ni  0.7170  0.7170  0.6475  4 Ge 2.38-2.54
Ge  0.2969  0.2969  0.7307  3 Ni 2.42-2.54
Ge  0.4357  0.4357  0.3313  1 Ni 2.38, 1 Ge 2.52
Ge  0.5643  0.5643  0.6687  1 Ni 2.38, 1 Ge 2.52
Ge  0.7031  0.7031  0.2693  3 Ni 2.42-2.54

The following is a PBE calculation of a relaxed CuSbOsPd crystal, from OQMD.

Calculated values
- offset from the most stable computed form (meV per atom) = 0
- space group = F-43m

a = 6.3146 Å, b = 6.3146 Å, c = 6.3146 Å
α = 90.00°, β = 90.00°, γ = 90.00°
Last column: nearest neighbours and their distance in Å.
Positions (direct):
Cu  0.0000  0.0000  0.0000  4 Pd 2.73, 4 Sb 2.73
Cu  0.0000  0.5000  0.5000  4 Pd 2.73, 4 Sb 2.73
Cu  0.5000  0.0000  0.5000  4 Pd 2.73, 4 Sb 2.73
Cu  0.5000  0.5000  0.0000  4 Pd 2.73, 4 Sb 2.73
Sb  0.2500  0.2500  0.7500  4 Cu 2.73, 4 Os 2.73
Sb  0.2500  0.7500  0.2500  4 Cu 2.73, 4 Os 2.73
Sb  0.7500  0.2500  0.2500  4 Cu 2.73, 4 Os 2.73
Sb  0.7500  0.7500  0.7500  4 Os 2.73, 4 Cu 2.73
Os  0.0000  0.0000  0.5000  4 Sb 2.73, 4 Pd 2.73
Os  0.0000  0.5000  0.0000  4 Sb 2.73, 4 Pd 2.73
Os  0.5000  0.0000  0.0000  4 Sb 2.73, 4 Pd 2.73
Os  0.5000  0.5000  0.5000  4 Sb 2.73, 4 Pd 2.73
Pd  0.2500  0.2500  0.2500  4 Os 2.73, 4 Cu 2.73
Pd  0.2500  0.7500  0.7500  4 Os 2.73, 4 Cu 2.73
Pd  0.7500  0.2500  0.7500  4 Os 2.73, 4 Cu 2.73
Pd  0.7500  0.7500  0.2500  4 Os 2.73, 4 Cu 2.73

The following is a PBE calculation of a relaxed CoCuTcB crystal, from OQMD.

Calculated values
- offset from the most stable computed form (meV per atom) = 0
- space group = F-43m

a = 5.5800 Å, b = 5.5800 Å, c = 5.5800 Å
α = 90.00°, β = 90.00°, γ = 90.00°
Last column: nearest neighbours and their distance in Å.
Positions (direct):
Co  0.0000  0.0000  0.0000  4 Tc 2.42, 4 Cu 2.42
Co  0.0000  0.5000  0.5000  4 Tc 2.42, 4 Cu 2.42
Co  0.5000  0.0000  0.5000  4 Tc 2.42, 4 Cu 2.42
Co  0.5000  0.5000  0.0000  4 Tc 2.42, 4 Cu 2.42
Cu  0.2500  0.2500  0.7500  4 Co 2.42, 4 B 2.42
Cu  0.2500  0.7500  0.2500  4 Co 2.42, 4 B 2.42
Cu  0.7500  0.2500  0.2500  4 Co 2.42, 4 B 2.42
Cu  0.7500  0.7500  0.7500  4 B 2.42, 4 Co 2.42
Tc  0.2500  0.2500  0.2500  4 Co 2.42, 4 B 2.42
Tc  0.2500  0.7500  0.7500  4 Co 2.42, 4 B 2.42
Tc  0.7500  0.2500  0.7500  4 Co 2.42, 4 B 2.42
Tc  0.7500  0.7500  0.2500  4 Co 2.42, 4 B 2.42
B  0.0000  0.0000  0.5000  4 Tc 2.42, 4 Cu 2.42
B  0.0000  0.5000  0.0000  4 Tc 2.42, 4 Cu 2.42
B  0.5000  0.0000  0.0000  4 Tc 2.42, 4 Cu 2.42
B  0.5000  0.5000  0.5000  4 Cu 2.42, 4 Tc 2.42

The following is a PBE calculation of a relaxed CsHfAuS3 crystal, from OQMD.

Calculated values
- E (eV/cell) = -66.07
- space group = Cmcm

a = 8.1689 Å, b = 8.1689 Å, c = 10.0274 Å
α = 90.00°, β = 90.00°, γ = 152.78°
Last column: nearest neighbours and their distance in Å.
Positions (direct):
Cs  0.2436  0.7564  0.7500  8 S 3.49-3.76, 2 Au 3.74, 2 Cs 3.84
Cs  0.7564  0.2436  0.2500  8 S 3.49-3.76, 2 Au 3.74, 2 Cs 3.84
Hf  0.5000  0.5000  0.0000  6 S 2.61-2.66
Hf  0.5000  0.5000  0.5000  6 S 2.61-2.66
Au  0.0547  0.9453  0.2500  4 S 2.41-2.61
Au  0.9453  0.0547  0.7500  4 S 2.41-2.61
S  0.1101  0.8899  0.0264  1 Au 2.41, 2 Hf 2.61
S  0.1101  0.8899  0.4736  1 Au 2.41, 2 Hf 2.61
S  0.4439  0.5561  0.2500  2 Au 2.61, 2 Hf 2.66
S  0.5561  0.4439  0.7500  2 Au 2.61, 2 Hf 2.66
S  0.8899  0.1101  0.5264  1 Au 2.41, 2 Hf 2.61
S  0.8899  0.1101  0.9736  1 Au 2.41, 2 Hf 2.61

The following is a PBE calculation of a relaxed Nd2Sm2CBr2Cl3 crystal, from OQMD.

Calculated values
- offset from the most stable computed form (meV per atom) = 6
- space group = C2/m

a = 9.0691 Å, b = 9.0691 Å, c = 8.0527 Å
α = 102.92°, β = 102.92°, γ = 24.61°
Last column: nearest neighbours and their distance in Å.
Positions (direct):
Nd  0.1457  0.1457  0.0791  1 C 2.51
Nd  0.8543  0.8543  0.9209  1 C 2.51
Sm  0.4973  0.4973  0.2117  2 C 2.58, 1 Cl 2.89
Sm  0.5027  0.5027  0.7883  2 C 2.58, 1 Cl 2.89
C  0.0000  0.0000  0.0000  2 Nd 2.51, 4 Sm 2.58
Br  0.3345  0.3345  0.6391  2 Nd 2.94, 1 Sm 2.95
Br  0.6655  0.6655  0.3609  2 Nd 2.94, 1 Sm 2.95
Cl  0.0000  0.0000  0.5000  4 Sm 3.01
Cl  0.3310  0.3310  0.1675  3 Nd 2.87-3.20, 1 Sm 2.89
Cl  0.6690  0.6690  0.8325  3 Nd 2.87-3.20, 1 Sm 2.89

no.,theoretical density (g cm⁻³)
1,4.92
2,8.97
3,12.71
4,8.84
5,6.56
6,5.36